The following is a DFT calculation (PBE-GGA) of a relaxed HfZrCrCo crystal.

Values from the calculation:
Raw total energy, eV/atom: -8.8668
SG: F-43m, No. 216

The structure in POSCAR format:
```
HfZrCrCo
1.0
-1.787 -1.531 -3.850
-4.090 -1.907 0.013
-3.497 2.148 -1.875
Cr Co Hf Zr
1 1 1 1
direct
0.000 0.000 0.000
0.500 0.500 0.500
0.250 0.250 0.250
0.750 0.750 0.750
```

The following is a DFT calculation (PBE-GGA) of a relaxed CrCo2Hg crystal.

Values from the calculation:
Raw total energy, eV/atom: -5.7207
SG: P4/mmm, No. 123

The structure in POSCAR format:
```
CrCo2Hg
1.0
-0.906 -2.704 -0.101
1.427 -0.387 -2.441
5.319 -1.909 3.411
Co Cr Hg
2 1 1
direct
0.000 0.000 0.048
0.000 0.000 0.452
0.500 0.500 0.250
0.500 0.500 0.750
```

The following is a DFT calculation (PBE-GGA) of a relaxed CrCo2Hg crystal.

Values from the calculation:
Raw total energy, eV/atom: -5.5727
SG: R-3m, No. 166

The structure in POSCAR format:
```
CrCo2Hg
1.0
-6.527 5.424 0.495
-7.876 3.046 0.979
-6.614 4.375 3.064
Cr Co Hg
1 2 1
direct
0.250 0.250 0.250
0.988 0.988 0.988
0.512 0.512 0.512
0.750 0.750 0.750
```

Formation energy values (in eV per formula unit) by entry order: -0.236, 1.254, 1.846.